Compound: Ac5Ag2Pb5
Source: the Alexandria database
Functional: PBE-GGA
Structure: optimized geometry

Output
E_tot (eV/atom): -4.21
Fermi-level density of states (states/eV/f.u.): 6.23

Unit cell a=4.953 b=9.096 c=9.774 alpha=91.70 beta=75.32 gamma=74.20
Positions (direct):
Ac 0.000 0.500 0.500
Ac 0.691 0.699 0.919
Ac 0.369 0.936 0.326
Ac 0.631 0.064 0.674
Ac 0.309 0.301 0.081
Ag 0.392 0.466 0.750
Ag 0.608 0.534 0.250
Pb 0.712 0.225 0.350
Pb 0.938 0.306 0.817
Pb 0.062 0.694 0.183
Pb 0.288 0.775 0.650
Pb 0.000 0.000 0.000

***

Compound: Ac3Ag8Pb
Source: the Alexandria database
Functional: PBE-GGA
Structure: optimized geometry

Output
E_tot (eV/atom): -3.43
Fermi-level density of states (states/eV/f.u.): 7.57

Unit cell a=5.892 b=5.892 c=9.770 alpha=90.00 beta=90.00 gamma=120.00
Positions (direct):
Ac 0.667 0.333 0.455
Ac 0.667 0.333 0.066
Ac 0.000 0.000 0.919
Ag 0.333 0.667 0.502
Ag 0.333 0.667 0.002
Ag 0.500 0.001 0.753
Ag 0.500 0.500 0.753
Ag 0.999 0.500 0.753
Ag 0.166 0.331 0.249
Ag 0.166 0.834 0.249
Ag 0.669 0.834 0.249
Pb 0.000 0.000 0.552

***

Number 1: M_tot 0.00 μB/f.u., ΔE_f -478 meV/atom. Number 2: M_tot 0.00 μB/f.u., ΔE_f -190 meV/atom.